Record 1
Tb12CeEr7 | PBE-GGA | optimized geometry

Summary:
Energy ... -0.33050 Ry per atom
D(E_F) ... 2.01 states/eV/atom
Energy above the most stable polymorph in this dataset ... 0.0 meV/atom

Cell: 9.2520 9.2520 9.2520 Å, 108.04 108.04 108.04°
Positions (direct):
Er 0.9997 0.1048 0.6852
Er 0.1048 0.6852 0.9997
Er 0.3148 0.0003 0.8952
Er 0.8952 0.3148 0.0003
Er 0.5000 0.5000 0.5000
Er 0.0003 0.8952 0.3148
Er 0.6852 0.9997 0.1048
Tb 0.9381 0.6996 0.5941
Tb 0.3004 0.4059 0.0619
Tb 0.6120 0.7900 0.3252
Tb 0.6996 0.5941 0.9381
Tb 0.7900 0.3252 0.6120
Tb 0.0619 0.3004 0.4059
Tb 0.2100 0.6748 0.3880
Tb 0.3880 0.2100 0.6748
Tb 0.3252 0.6120 0.7900
Tb 0.5941 0.9381 0.6996
Tb 0.4059 0.0619 0.3004
Tb 0.6748 0.3880 0.2100
Ce 0.0000 0.0000 0.0000

Record 2
TbCeEr2 | PBE-GGA | optimized geometry

Summary:
Energy ... -0.35801 Ry per atom
D(E_F) ... 1.92 states/eV/atom
Energy above the most stable polymorph in this dataset ... 11.5 meV/atom

Cell: 3.5087 3.5087 11.6198 Å, 81.32 81.32 60.00°
Positions (direct):
Er 0.2509 0.2509 0.2472
Er 0.7491 0.7491 0.7528
Tb 0.5000 0.5000 0.5000
Ce 0.0000 0.0000 0.0000

Record 3
Tb2CeEr | PBE-GGA | optimized geometry

Summary:
Energy ... -0.35861 Ry per atom
D(E_F) ... 1.76 states/eV/atom
Energy above the most stable polymorph in this dataset ... 4.5 meV/atom

Cell: 3.5201 3.5201 10.0056 Å, 90.00 90.00 90.00°
Positions (direct):
Tb 0.0000 0.0000 0.7467
Tb 0.0000 0.0000 0.2533
Ce 0.5000 0.5000 0.5000
Er 0.5000 0.5000 0.0000

Record 4
TbCeEr2 | PBE-GGA | optimized geometry

Summary:
Energy ... -0.35731 Ry per atom
D(E_F) ... 1.96 states/eV/atom
Energy above the most stable polymorph in this dataset ... 21.1 meV/atom

Cell: 3.5132 3.5132 9.9340 Å, 90.00 90.00 90.00°
Positions (direct):
Er 0.0000 0.0000 0.2454
Er 0.0000 0.0000 0.7546
Ce 0.5000 0.5000 0.0000
Tb 0.5000 0.5000 0.5000

Record 5
Tb3CeEr2 | PBE-GGA | optimized geometry

Summary:
Energy ... -0.35069 Ry per atom
D(E_F) ... 1.80 states/eV/atom
Energy above the most stable polymorph in this dataset ... 3.6 meV/atom

Cell: 5.0089 9.9983 9.3529 Å, 122.31 105.53 90.00°
Positions (direct):
Tb 0.5000 0.2500 0.0000
Tb 0.1645 0.4145 0.3290
Tb 0.8355 0.5855 0.6710
Tb 0.5000 0.7500 0.0000
Tb 0.1645 0.9145 0.3290
Tb 0.8355 0.0855 0.6710
Ce 0.0000 0.5000 0.0000
Ce 0.0000 0.0000 0.0000
Er 0.3332 0.3330 0.6661
Er 0.6671 0.1670 0.3339
Er 0.6668 0.6670 0.3339
Er 0.3329 0.8330 0.6661

Record 6
TbCeEr6 | PBE-GGA | optimized geometry

Summary:
Energy ... -0.34535 Ry per atom
D(E_F) ... 1.46 states/eV/atom
Energy above the most stable polymorph in this dataset ... 0.0 meV/atom

Cell: 4.9735 4.9735 9.9230 Å, 90.00 90.00 90.00°
Positions (direct):
Tb 0.0000 0.0000 0.0000
Er 0.5000 0.5000 0.0000
Er 0.5000 0.5000 0.5000
Er 0.0000 0.5000 0.2515
Er 0.5000 0.0000 0.7485
Er 0.0000 0.5000 0.7485
Er 0.5000 0.0000 0.2515
Ce 0.0000 0.0000 0.5000

Record 7
Tb2CeEr | PBE-GGA | optimized geometry

Summary:
Energy ... -0.34913 Ry per atom
D(E_F) ... 2.40 states/eV/atom
Energy above the most stable polymorph in this dataset ... 133.4 meV/atom

Cell: 11.2790 9.4747 6.4478 Å, 42.72 51.89 32.86°
Positions (direct):
Ce 0.5000 0.0000 0.5000
Ce 0.0000 0.5000 0.5000
Tb 0.7499 0.2736 0.8240
Tb 0.2501 0.7264 0.1760
Tb 0.7501 0.9024 0.8240
Tb 0.2499 0.0976 0.1760
Er 0.2500 0.5899 0.8202
Er 0.7500 0.4101 0.1798

Record 8
Tb7CeEr4 | PBE-GGA | optimized geometry

Summary:
Energy ... -0.34575 Ry per atom
D(E_F) ... 1.51 states/eV/atom

Cell: 7.1369 6.1804 11.3243 Å, 79.49 50.95 90.01°
Positions (direct):
Er 0.8364 0.7796 0.6636
Er 0.4170 0.7242 0.3330
Er 0.1636 0.2204 0.3364
Er 0.5830 0.2758 0.6670
Ce 0.0000 0.0000 0.0000
Tb 0.2491 0.4998 0.9995
Tb 0.7509 0.5002 0.0005
Tb 0.3322 0.7796 0.6676
Tb 0.0843 0.2770 0.6662
Tb 0.9157 0.7230 0.3338
Tb 0.5000 0.0000 0.0000
Tb 0.6678 0.2204 0.3324

Record 9
Tb9Ce4Er11 | PBE-GGA | optimized geometry

Summary:
Energy ... -0.34676 Ry per atom
D(E_F) ... 1.92 states/eV/atom

Cell: 3.6462 14.9515 14.9515 Å, 112.54 90.00 90.00°
Positions (direct):
Er 0.0000 0.4086 0.0479
Er 0.0000 0.0479 0.4086
Er 0.0000 0.1584 0.8416
Er 0.0000 0.8416 0.1584
Er 0.0000 0.6375 0.3625
Er 0.0000 0.2856 0.2856
Er 0.0000 0.9521 0.5914
Er 0.0000 0.7144 0.7144
Er 0.0000 0.3625 0.6375
Er 0.0000 0.5914 0.9521
Er 0.0000 0.0000 0.0000
Ce 0.5000 0.7501 0.5527
Ce 0.5000 0.2499 0.4473
Ce 0.5000 0.4473 0.2499
Ce 0.5000 0.5527 0.7501
Tb 0.5000 0.9324 0.7863
Tb 0.5000 0.6339 0.1610
Tb 0.5000 0.0676 0.2137
Tb 0.5000 0.1610 0.6339
Tb 0.5000 0.8390 0.3661
Tb 0.5000 0.3661 0.8390
Tb 0.5000 0.7863 0.9324
Tb 0.5000 0.2137 0.0676
Tb 0.5000 0.5000 0.5000

Record 10
Tb4CeEr7 | PBE-GGA | optimized geometry

Summary:
Energy ... -0.33787 Ry per atom
D(E_F) ... 2.00 states/eV/atom

Cell: 6.7717 8.6288 8.9562 Å, 84.30 95.47 48.11°
Positions (direct):
Er 0.7061 0.1892 0.3849
Er 0.9774 0.3191 0.6435
Er 0.2939 0.8108 0.6151
Er 0.7355 0.5132 0.9514
Er 0.5000 0.0000 0.0000
Er 0.2645 0.4868 0.0486
Er 0.0226 0.6809 0.3565
Tb 0.5525 0.6423 0.2868
Tb 0.4475 0.3577 0.7133
Tb 0.2210 0.1655 0.3136
Tb 0.7790 0.8345 0.6864
Ce 0.0000 0.0000 0.0000

Record 11
Tb5CeEr12 | PBE-GGA | optimized geometry

Summary:
Energy ... -0.33999 Ry per atom
D(E_F) ... 1.51 states/eV/atom

Cell: 10.5635 10.5657 6.1059 Å, 106.72 90.00 60.01°
Positions (direct):
Er 0.9994 0.6671 0.9992
Er 0.1667 0.3335 0.4997
Er 0.6667 0.3329 0.0008
Er 0.4999 0.3334 0.4997
Er 0.3333 0.6671 0.9992
Er 0.1659 0.0000 0.5001
Er 0.3319 0.0000 0.0001
Er 0.6681 0.0000 0.9999
Er 0.5001 0.6666 0.5003
Er 0.8333 0.6665 0.5003
Er 0.8341 0.0000 0.4999
Er 0.0006 0.3329 0.0008
Tb 0.1657 0.6683 0.5039
Tb 0.5000 0.0000 0.5000
Tb 0.8343 0.3317 0.4961
Tb 0.6669 0.6662 0.9992
Tb 0.3331 0.3338 0.0008
Ce 0.0000 0.0000 0.0000

Record 12
Tb3CeEr | PBE-GGA | optimized geometry

Summary:
Energy ... -0.34551 Ry per atom
D(E_F) ... 1.79 states/eV/atom
Energy above the most stable polymorph in this dataset ... 11.8 meV/atom

Cell: 5.3337 6.1025 10.7075 Å, 90.00 89.99 64.09°
Positions (direct):
Ce 0.1231 0.7539 0.0000
Ce 0.8769 0.2461 0.0000
Er 0.6566 0.6867 0.5000
Er 0.3434 0.3133 0.5000
Tb 0.9996 0.0000 0.3297
Tb 0.0004 0.0000 0.6703
Tb 0.6539 0.6931 0.8094
Tb 0.6531 0.6931 0.1906
Tb 0.3461 0.3070 0.1906
Tb 0.3469 0.3070 0.8094

Record 13
Tb10CeEr6 | PBE-GGA | optimized geometry

Summary:
Energy ... -0.33315 Ry per atom
D(E_F) ... 1.58 states/eV/atom

Cell: 6.7897 9.6210 9.6210 Å, 120.00 90.00 90.00°
Positions (direct):
Tb 0.8157 0.0000 0.2739
Tb 0.1843 0.2739 0.2739
Tb 0.8157 0.7261 0.7261
Tb 0.1843 0.0000 0.7261
Tb 0.1843 0.7261 0.0000
Tb 0.5000 0.3333 0.6667
Tb 0.8157 0.2739 0.0000
Tb 0.5000 0.6667 0.3333
Tb 0.0000 0.6667 0.3333
Tb 0.0000 0.3333 0.6667
Er 0.3036 0.6241 0.6241
Er 0.6964 0.3759 0.3759
Er 0.3036 0.3759 0.0000
Er 0.6964 0.6241 0.0000
Er 0.6964 0.0000 0.6241
Er 0.3036 0.0000 0.3759
Ce 0.5000 0.0000 0.0000

Record 14
Tb7CeEr3 | PBE-GGA | optimized geometry

Summary:
Energy ... -0.33600 Ry per atom
D(E_F) ... 1.74 states/eV/atom
Energy above the most stable polymorph in this dataset ... 0.0 meV/atom

Cell: 9.8236 9.8236 13.1087 Å, 100.64 100.64 138.93°
Positions (direct):
Tb 0.8795 0.5571 0.9695
Tb 0.1208 0.4432 0.5307
Tb 0.9124 0.0883 0.2500
Tb 0.8792 0.5568 0.4693
Tb 0.4999 0.4999 0.7501
Tb 0.5568 0.8792 0.4693
Tb 0.4432 0.1208 0.5307
Tb 0.4429 0.1205 0.0305
Tb 0.0876 0.9117 0.7500
Tb 0.9117 0.0876 0.7500
Tb 0.5001 0.5001 0.2499
Tb 0.1205 0.4429 0.0305
Tb 0.0883 0.9124 0.2500
Tb 0.5571 0.8795 0.9695
Er 0.0000 0.0000 0.5000
Er 0.5000 0.0002 0.7502
Er 0.9998 0.5000 0.2498
Er 0.5000 0.9998 0.2498
Er 0.0000 0.0000 0.0000
Er 0.0002 0.5000 0.7502
Ce 0.5000 0.5000 0.5000
Ce 0.5000 0.5000 0.0000

Record 15
Tb10CeEr4 | PBE-GGA | optimized geometry

Summary:
Energy ... -0.29053 Ry per atom
D(E_F) ... 1.39 states/eV/atom

Cell: 9.3632 9.3632 9.3632 Å, 99.60 99.60 131.80°
Positions (direct):
Er 0.4010 0.8001 0.2011
Er 0.1999 0.4010 0.6009
Er 0.8001 0.5990 0.3991
Er 0.5990 0.1999 0.7989
Ce 0.0000 0.0000 0.0000
Tb 0.6522 0.5542 0.7016
Tb 0.4458 0.1474 0.0980
Tb 0.2500 0.7500 0.5000
Tb 0.7500 0.2500 0.5000
Tb 0.5542 0.8526 0.9020
Tb 0.0494 0.3478 0.9020
Tb 0.3478 0.4458 0.2984
Tb 0.8526 0.9506 0.2984
Tb 0.9506 0.6522 0.0980
Tb 0.1474 0.0494 0.7016

Record 16
Tb2CeEr | PBE-GGA | optimized geometry

Summary:
Energy ... -0.34913 Ry per atom
D(E_F) ... 2.89 states/eV/atom
Energy above the most stable polymorph in this dataset ... 133.5 meV/atom

Cell: 5.6540 5.6540 5.6540 Å, 60.00 60.00 60.00°
Positions (direct):
Ce 0.5000 0.5000 0.5000
Er 0.0000 0.0000 0.0000
Tb 0.7500 0.7500 0.7500
Tb 0.2500 0.2500 0.2500

Record 17
TbCe2Er7 | PBE-GGA | optimized geometry

Summary:
Energy ... -0.35188 Ry per atom
D(E_F) ... 1.94 states/eV/atom

Cell: 6.0863 9.2922 7.8480 Å, 114.99 49.79 102.57°
Positions (direct):
Tb 0.0000 0.0000 0.0000
Er 0.5000 0.5000 0.0000
Er 0.0981 0.2993 0.4024
Er 0.7034 0.0995 0.7945
Er 0.2966 0.9004 0.2055
Er 0.9019 0.7007 0.5976
Er 0.2019 0.5988 0.7987
Er 0.7981 0.4012 0.2014
Ce 0.4021 0.1973 0.6005
Ce 0.5979 0.8027 0.3995

Record 18
Tb7CeEr2 | PBE-GGA | optimized geometry

Summary:
Energy ... -0.29579 Ry per atom
D(E_F) ... 1.93 states/eV/atom

Cell: 5.4977 9.3084 9.3084 Å, 124.03 90.00 90.00°
Positions (direct):
Er 0.5000 0.7035 0.2965
Er 0.5000 0.2965 0.7035
Tb 0.0000 0.2087 0.7913
Tb 0.5000 0.9358 0.7099
Tb 0.5000 0.0642 0.2901
Tb 0.5000 0.5000 0.5000
Tb 0.5000 0.7099 0.9358
Tb 0.5000 0.2901 0.0642
Tb 0.0000 0.7913 0.2087
Ce 0.0000 0.0000 0.0000

Record 19
Tb2CeEr | PBE-GGA | optimized geometry

Summary:
Energy ... -0.35894 Ry per atom
D(E_F) ... 1.79 states/eV/atom
Energy above the most stable polymorph in this dataset ... 0.0 meV/atom

Cell: 3.5295 3.5295 11.6942 Å, 81.32 81.32 60.00°
Positions (direct):
Tb 0.0828 0.0828 0.7515
Tb 0.2503 0.2503 0.2492
Er 0.6663 0.6663 0.0010
Ce 0.5006 0.5006 0.4983

Record 20
Tb2CeEr6 | PBE-GGA | optimized geometry

Summary:
Energy ... -0.34123 Ry per atom
D(E_F) ... 1.84 states/eV/atom

Cell: 6.5228 6.5225 14.8121 Å, 108.65 108.64 94.33°
Positions (direct):
Tb 0.4770 0.3148 0.8235
Tb 0.3148 0.4769 0.3235
Tb 0.6852 0.5231 0.6765
Tb 0.5230 0.6852 0.1765
Er 0.4124 0.9143 0.5837
Er 0.5876 0.0857 0.4163
Er 0.8128 0.6495 0.4898
Er 0.8542 0.0214 0.8435
Er 0.1458 0.9786 0.1565
Er 0.1872 0.3505 0.5102
Er 0.3505 0.1872 0.0102
Er 0.0857 0.5876 0.9162
Er 0.9787 0.1458 0.6565
Er 0.9143 0.4124 0.0838
Er 0.0213 0.8542 0.3435
Er 0.6495 0.8128 0.9898
Ce 0.7506 0.2494 0.2500
Ce 0.2494 0.7506 0.7500